## A
DFT (PBE) results for KOsRh after structural relaxation.

Unit cell a=4.9432 b=4.9432 c=2.6167 alpha=90.00 beta=90.00 gamma=120.00
Space group P-6m2 (No. 187)
Asymmetric unit:
K 0.0000 0.0000 0.0000 [1 per cell]
Os 0.6667 0.3333 0.5000 [1 per cell]
Rh 0.3333 0.6667 0.5000 [1 per cell]

Its magnetization is 0.85 μB/f.u.

***

## B
DFT (PBE) results for KOsRh after structural relaxation.

Unit cell a=4.3729 b=4.0663 c=19.0342 alpha=90.00 beta=90.00 gamma=90.00
Space group Pnma (No. 62)
Asymmetric unit:
K 0.1649 0.2500 0.1587 [4 per cell]
Os 0.1631 0.7500 0.0054 [4 per cell]
Rh 0.1419 0.7500 0.4328 [4 per cell]

Its magnetization is 0.00 μB/f.u.

***

## C
DFT (PBE) results for KOsRh after structural relaxation.

Unit cell a=4.4664 b=12.1345 c=5.1066 alpha=90.00 beta=90.00 gamma=90.00
Space group Cmcm (No. 63)
Asymmetric unit:
K 0.0000 0.2350 0.2500 [4 per cell]
Os 0.0000 0.0270 0.7500 [4 per cell]
Rh 0.0000 0.5000 0.0000 [4 per cell]

Its magnetization is 0.42 μB/f.u.

***

Verdict on stability: A comes out at the bottom.

***

## A
DFT (PBE) results for KOsRh after structural relaxation.

Unit cell a=6.4825 b=6.4825 c=6.4825 alpha=90.00 beta=90.00 gamma=90.00
Space group F-43m (No. 216)
Asymmetric unit:
K 0.0000 0.0000 0.0000 [4 per cell]
Os 0.2500 0.2500 0.7500 [4 per cell]
Rh 0.2500 0.2500 0.2500 [4 per cell]

Its magnetization is 3.18 μB/f.u.

***

## B
DFT (PBE) results for KOsRh after structural relaxation.

Unit cell a=12.8099 b=2.7371 c=7.9438 alpha=90.00 beta=108.21 gamma=90.00
Space group C2/m (No. 12)
Asymmetric unit:
K 0.0000 0.0000 0.0000 [2 per cell]
K 0.0000 0.0000 0.5000 [2 per cell]
Os 0.2181 0.5000 0.3606 [4 per cell]
Rh 0.2142 0.5000 0.8541 [4 per cell]

Its magnetization is 0.00 μB/f.u.

***

## C
DFT (PBE) results for KOsRh after structural relaxation.

Unit cell a=12.2831 b=4.4074 c=5.0871 alpha=90.00 beta=90.60 gamma=90.00
Space group Cm (No. 8)
Asymmetric unit:
K 0.0000 0.0000 0.0000 [2 per cell]
K 0.0331 0.5000 0.5011 [2 per cell]
Os 0.2370 0.5000 0.0142 [2 per cell]
Os 0.2843 0.0000 0.8028 [2 per cell]
Rh 0.2438 0.0000 0.2985 [2 per cell]
Rh 0.2937 0.5000 0.5191 [2 per cell]

Its magnetization is 0.00 μB/f.u.

***

## D
DFT (PBE) results for KOsRh after structural relaxation.

Unit cell a=5.0975 b=4.1975 c=6.6648 alpha=90.00 beta=95.50 gamma=90.00
Space group P2_1/m (No. 11)
Asymmetric unit:
K 0.2488 0.2500 0.0894 [2 per cell]
Os 0.1166 0.7500 0.4793 [2 per cell]
Rh 0.4034 0.2500 0.5993 [2 per cell]

Its magnetization is 0.00 μB/f.u.

***

Verdict on stability: A comes out at the bottom.